Entry 1:
Below is crystalline LiTiBe3 at its relaxed geometry, with properties calculated at the GGA-PBE level.

The value obtained for the formation energy is 1.414 eV per atom. The calculation puts the polymorph energy (0 for the lowest one) at 453 kJ/mol of formula units. For the final energy, the calculation gives -13.91 eV for the cell shown.

```
LiTiBe3
1.0
-2.725 3.244 1.878
-0.791 -2.767 3.633
3.664 1.816 2.180
Be Li Ti
3 1 1
direct
0.000 0.500 0.000
0.000 0.000 0.500
0.500 0.000 0.000
0.500 0.500 0.500
0.000 0.000 0.000
```

---

Entry 2:
Below is crystalline TbCeIn2 at its relaxed geometry, with properties calculated at the GGA-PBE level.

The value obtained for the formation energy is -0.417 eV per atom. For the final energy, the calculation gives -17.71 eV for the cell shown.

```
TbCeIn2
1.0
-2.767 -0.592 -2.013
-0.370 -3.142 1.431
-5.364 3.519 6.339
Tb Ce In
1 1 2
direct
0.500 0.500 0.500
0.500 0.500 0.000
0.000 0.000 0.744
0.000 0.000 0.256
```